Entry from Alexandria via LeMat-Bulk: a relaxed Pm2Ni2Pt crystal (PBE-GGA).

Cell lengths 5.667, 5.667, 10.791 Å; angles 115.44, 115.44, 43.01 degrees
Sites, in units of the cell vectors:
Pm 0.095 0.095 0.397
Pm 0.307 0.307 0.857
Pm 0.693 0.693 0.143
Pm 0.905 0.905 0.603
Ni 0.042 0.042 0.919
Ni 0.378 0.378 0.399
Ni 0.622 0.622 0.601
Ni 0.958 0.958 0.081
Pt 0.417 0.417 0.183
Pt 0.583 0.583 0.817

## Properties
N(E_F) in states/eV per atom: 0.77
Density in g cm⁻³: 9.54
Total energy in eV for the cell shown: -60.1
Calculated formation energy in eV/atom: -0.588
M_tot in μB/f.u.: 0.0